First-principles (GGA-PBE) data for a relaxed Na2LaPt crystal, as listed in Alexandria.

Summary:
For the total DFT energy (no corrections), the calculation gives -13.35 eV per cell. The magnetization is 0.00 μB per cell. The calculation puts the mass density at 6.684 Mg/m³.

The structure in POSCAR format:
```
Na2LaPt
1.0
0.000 3.614 3.614
3.614 0.000 3.614
3.614 3.614 0.000
Pt Na La
1 2 1
direct
0.500 0.500 0.500 Pt
0.250 0.250 0.250 Na
0.750 0.750 0.750 Na
0.000 0.000 0.000 La
```

First-principles (GGA-PBE) data for a relaxed CaSm2Ga3 crystal, as listed in Alexandria.

Summary:
For the total DFT energy (no corrections), the calculation gives -23.62 eV per cell. The magnetization is 0.00 μB per cell. The calculation puts the mass density at 6.223 Mg/m³.

The structure in POSCAR format:
```
CaSm2Ga3
1.0
-1.560 -2.872 -1.569
2.507 -2.166 1.473
-6.479 -1.387 8.984
Ga Ca Sm
3 1 2
direct
0.000 0.000 0.335 Ga
0.000 0.000 0.665 Ga
0.000 0.000 0.000 Ga
0.500 0.500 0.500 Ca
0.500 0.500 0.831 Sm
0.500 0.500 0.169 Sm
```

First-principles (GGA-PBE) data for a relaxed OsRu crystal, as listed in Alexandria.

Summary:
For the total DFT energy (no corrections), the calculation gives -118.67 eV per cell. The magnetization is 0.00 μB per cell. The calculation puts the mass density at 15.589 Mg/m³.

The structure in POSCAR format:
```
OsRu
1.0
-3.786 2.396 -5.586
5.259 -4.754 -1.013
-2.736 -3.135 0.510
Ru Os
6 6
direct
0.048 0.807 0.250 Ru
0.952 0.193 0.750 Ru
0.193 0.241 0.250 Ru
0.759 0.952 0.250 Ru
0.241 0.048 0.750 Ru
0.807 0.759 0.750 Ru
0.890 0.379 0.250 Os
0.621 0.511 0.250 Os
0.489 0.110 0.250 Os
0.379 0.489 0.750 Os
0.110 0.621 0.750 Os
0.511 0.890 0.750 Os
```